A geometry-optimized MoP2O8 structure, computed with PBE+U.

Cell: 5.247 10.794 11.539 Å, 90.00 90.00 90.00°
Element x y z (fractional)
O  0.492  0.834  0.241
O  0.239  0.777  0.575
P  0.235  0.909  0.536
O  0.722  0.716  0.941
O  0.025  0.839  0.258
O  0.015  0.447  0.026
O  0.008  0.166  0.741
Mo  0.243  0.594  0.654
P  0.745  0.644  0.834
O  0.278  0.216  0.559
P  0.245  0.856  0.166
O  0.515  0.053  0.974
O  0.525  0.661  0.742
O  0.963  0.557  0.543
O  0.985  0.947  0.474
O  0.739  0.723  0.425
O  0.246  0.451  0.716
Mo  0.257  0.406  0.154
O  0.256  0.993  0.648
O  0.756  0.507  0.352
O  0.746  0.049  0.284
O  0.754  0.951  0.784
O  0.244  0.007  0.148
O  0.975  0.339  0.242
O  0.475  0.161  0.758
O  0.508  0.334  0.259
O  0.761  0.277  0.925
O  0.037  0.057  0.957
O  0.992  0.666  0.759
O  0.485  0.553  0.526
O  0.778  0.284  0.441
O  0.537  0.443  0.043
P  0.765  0.409  0.964
Mo  0.743  0.906  0.346
O  0.222  0.784  0.059
O  0.463  0.943  0.457
P  0.255  0.144  0.666
O  0.744  0.493  0.852
O  0.254  0.549  0.216
P  0.755  0.356  0.334
P  0.265  0.091  0.036
Mo  0.757  0.094  0.846
O  0.261  0.223  0.075
P  0.735  0.591  0.464

Results
Excess energy over the best structure of this formula in the dataset: 0.05 eV per formula unit
Total magnetic moment: 0.0 Bohr magnetons per cell